# Sr2LiCu4Ge3

An optimized crystal structure of Sr2LiCu4Ge3 (PBE-GGA, Alexandria).

## Properties
E_form, eV/atom: -0.33
Magnetic moment, μB per atom: 0.00

Structure (extended XYZ):
```
10
Lattice="4.3469 0.0000 0.0000 0.0000 4.3469 0.0000 0.0000 0.0000 9.9607" Properties=species:S:1:pos:R:3 pbc="T T T"
Ge 2.1734 0.0000 8.6863
Ge 0.0000 2.1734 1.2743
Ge 0.0000 0.0000 4.9803
Li 2.1734 2.1734 4.9803
Cu 0.0000 0.0000 0.0000
Cu 2.1734 2.1734 0.0000
Cu 0.0000 2.1734 3.7396
Cu 2.1734 0.0000 6.2211
Sr 2.1734 0.0000 2.4318
Sr 0.0000 2.1734 7.5289
```

# Ba2PrBr

An optimized crystal structure of Ba2PrBr (PBE-GGA, Alexandria).

## Properties
Magnetic moment, μB per atom: 0.25
Formation energy from raw total energies, eV per atom: -0.45

Structure (extended XYZ):
```
4
Lattice="-1.8015 -3.5423 -0.6119 1.9019 -2.8971 -2.0389 4.8957 -6.4620 9.7839" Properties=species:S:1:pos:R:3 pbc="T T T"
Ba 1.5717 -7.7453 0.5773
Ba 3.4244 -5.1561 6.5558
Pr 0.0000 0.0000 0.0000
Br 2.4980 -6.4507 3.5666
```

# LaPrHoSc

An optimized crystal structure of LaPrHoSc (PBE-GGA, Alexandria).

## Properties
E_form, eV/atom: 0.09
Magnetic moment, μB per atom: 0.00

Structure (extended XYZ):
```
4
Lattice="5.6669 0.0000 0.0000 2.8335 4.9077 0.0000 2.8335 1.6359 4.6270" Properties=species:S:1:pos:R:3 pbc="T T T"
Sc 8.5004 4.9077 3.4703
La 0.0000 0.0000 0.0000
Ho 2.8335 1.6359 1.1568
Pr 5.6669 3.2718 2.3135
```

# Th4TlGa2

An optimized crystal structure of Th4TlGa2 (PBE-GGA, Alexandria).

## Properties
E_form, eV/atom: -0.07
Magnetic moment, μB per atom: 0.00

Structure (extended XYZ):
```
7
Lattice="-2.4672 3.3412 2.4158 -0.0522 -0.0574 4.8042 7.7931 7.3476 2.5751" Properties=species:S:1:pos:R:3 pbc="T T T"
Th 5.2976 8.9458 7.3726
Th -0.0239 1.6856 2.4226
Th 0.4032 5.4007 7.2771
Th 4.8706 5.2308 2.5181
Ga 5.1649 7.1468 4.9469
Ga 0.1088 3.4846 4.8483
Tl 2.6369 5.3157 4.8976
```

# Tb2CdHgRh

An optimized crystal structure of Tb2CdHgRh (PBE-GGA, Alexandria).

## Properties
E_form, eV/atom: -0.56
Magnetic moment, μB per atom: 0.00

Structure (extended XYZ):
```
10
Lattice="-3.0568 2.5335 0.9497 -3.8057 -6.0673 3.9365 4.8042 3.9917 4.8145" Properties=species:S:1:pos:R:3 pbc="T T T"
Cd 0.2759 -0.1128 5.5756
Cd -2.3341 0.5707 4.1250
Hg -1.9413 -2.4093 4.5658
Hg -0.1170 2.8673 5.1349
Tb -2.5200 -0.8743 7.3815
Tb 2.8788 2.8325 6.0967
Tb -4.9371 -2.3746 3.6040
Tb 0.4618 1.3322 2.3192
Rh -2.2422 1.6339 1.5844
Rh 0.1840 -1.1760 8.1163
```

# SnSe2

An optimized crystal structure of SnSe2 (PBE-GGA, Alexandria).

## Properties
Magnetic moment, μB per atom: 0.00
Formation energy from raw total energies, eV per atom: -0.35

Structure (extended XYZ):
```
3
Lattice="-1.8287 2.4964 2.3251 1.4821 -3.2675 1.4521 5.8499 3.1805 1.1861" Properties=species:S:1:pos:R:3 pbc="T T T"
Sn 0.0000 0.0000 0.0000
Se 1.7595 -0.5954 2.0231
Se 3.7438 3.0047 2.9401
```

# LaPmPr2Nd

An optimized crystal structure of LaPmPr2Nd (PBE-GGA, Alexandria).

## Properties
E_form, eV/atom: 0.24
Magnetic moment, μB per atom: 0.00

Structure (extended XYZ):
```
10
Lattice="-5.6645 -1.6312 3.5203 0.7867 -8.0052 -2.4435 3.5272 -0.9620 5.2297" Properties=species:S:1:pos:R:3 pbc="T T T"
Nd -3.4773 -5.6117 3.0392
Nd 2.1267 -4.9867 3.2673
Pr -1.0745 -4.2643 5.5189
Pr -0.2762 -6.3341 0.7875
Pr -0.6989 -3.1672 1.5747
Pr -0.6517 -7.4312 4.7318
La 1.7636 -0.4810 2.6148
La 0.0000 0.0000 0.0000
Pm -2.3948 -1.1841 3.3437
Pm 0.2575 -1.4092 5.4063
```

# CsSbSeI2

An optimized crystal structure of CsSbSeI2 (PBE-GGA, Alexandria).

## Properties
Offset from the most stable computed form, meV/atom: 1354
Magnetic moment, μB per atom: 1.15
Formation energy from raw total energies, eV per atom: 0.69

Structure (extended XYZ):
```
5
Lattice="-3.7473 -2.9045 -5.6519 5.6994 -4.4380 -1.4981 -3.0030 -5.4792 4.8069" Properties=species:S:1:pos:R:3 pbc="T T T"
Se -0.5255 -6.4109 -1.1716
Sb -1.5015 -2.7396 2.4034
Cs 0.0000 0.0000 0.0000
I -1.8737 -1.4523 -2.8259
I 2.8497 -2.2190 -0.7491
```

# Dy6CdPd2

An optimized crystal structure of Dy6CdPd2 (PBE-GGA, Alexandria).

## Properties
E_form, eV/atom: -0.49
Magnetic moment, μB per atom: 0.00

Structure (extended XYZ):
```
18
Lattice="8.0346 -0.0983 -2.9293 -4.3067 7.0085 -2.3404 -0.0870 0.0983 8.5514" Properties=species:S:1:pos:R:3 pbc="T T T"
Cd -2.1969 3.5534 3.1055
Cd 0.0000 0.0000 0.0000
Dy 3.9566 2.6186 2.8353
Dy 3.1282 5.3161 0.6999
Dy 2.5266 1.9926 -0.4926
Dy 4.1045 4.9176 -2.7232
Dy 0.5126 1.6923 2.5818
Dy -0.3158 4.3899 0.4464
Dy 5.4837 0.1486 0.6766
Dy -1.7886 5.4144 5.8348
Dy -0.4637 2.0908 6.0050
Dy 5.4293 1.5941 -2.5530
Dy -1.8429 6.8599 2.6051
Dy 1.1142 5.0159 3.7744
Pd 2.7335 0.0000 1.9337
Pd 2.3595 2.6111 5.0931
Pd 1.2813 4.3974 -1.8113
Pd 5.2140 0.0000 3.6885
```

# Pr5Nd12Dy

An optimized crystal structure of Pr5Nd12Dy (PBE-GGA, Alexandria).

## Properties
E_form, eV/atom: 0.01
Magnetic moment, μB per atom: 0.00

Structure (extended XYZ):
```
18
Lattice="15.6319 -0.0008 0.0061 7.8154 7.8070 0.0030 -0.0011 0.0000 5.2100" Properties=species:S:1:pos:R:3 pbc="T T T"
Pr 7.8158 2.6079 0.0031
Pr 15.6317 5.1983 0.0061
Pr 7.8148 5.2264 2.6080
Pr 15.6316 2.5798 2.6111
Pr 7.8155 -0.0004 2.6081
Nd 20.8486 5.2165 0.0083
Nd 2.5911 0.0000 2.6059
Nd 10.4142 5.2168 5.2139
Nd 2.5978 2.5897 5.2109
Nd 10.4348 -0.0003 0.0042
Nd 13.0140 5.2006 2.6100
Nd 13.0116 7.8065 5.2149
Nd 20.8553 7.8062 2.6133
Nd 18.2482 5.1998 2.6122
Nd 13.0322 2.5894 0.0052
Nd 10.4325 2.6056 2.6092
Nd 5.1982 2.6064 2.6069
Dy 0.0001 0.0000 0.0000
```

# ErNiRu2C

An optimized crystal structure of ErNiRu2C (PBE-GGA, Alexandria).

## Properties
E_form, eV/atom: -0.24
Magnetic moment, μB per atom: 0.12

Structure (extended XYZ):
```
5
Lattice="3.9320 0.0000 0.0000 0.0000 4.1615 0.0000 0.0000 0.0000 4.1615" Properties=species:S:1:pos:R:3 pbc="T T T"
C 0.0000 0.0000 0.0000
Er 1.9660 2.0807 2.0807
Ru 0.0000 2.0807 0.0000
Ru 0.0000 0.0000 2.0807
Ni 1.9660 0.0000 0.0000
```

# LaTa2I2

An optimized crystal structure of LaTa2I2 (PBE-GGA, Alexandria).

## Properties
Offset from the most stable computed form, meV/atom: 0
Magnetic moment, μB per atom: 0.00
Formation energy from raw total energies, eV per atom: 0.42

Structure (extended XYZ):
```
5
Lattice="5.2001 0.0000 0.0000 0.0000 5.2001 0.0000 2.6000 2.6000 4.8985" Properties=species:S:1:pos:R:3 pbc="T T T"
I 2.6000 5.2001 2.4492
I 5.2001 2.6000 2.4492
Ta 2.6000 2.6000 1.2171
Ta 5.2001 5.2001 3.6813
La 0.0000 0.0000 0.0000
```

magnetic moment of number 1 (Sr2LiCu4Ge3)? 0.00 μB per atom

Number 1 is which compound? Sr2LiCu4Ge3

Look up the magnetic moment of the fourth one. 0.00 μB per atom